[1]
A plane-wave DFT calculation with PBE-GGA was carried out for a relaxed CsVNi2Cl8 crystal.

Uncorrected energy (eV per atom): -4.0067
ΔE_f (raw) (eV/atom): -0.981

```
data_CsVNi2Cl8
_cell_length_a 10.637
_cell_length_b 10.637
_cell_length_c 10.637
_cell_angle_alpha 34.00
_cell_angle_beta 34.00
_cell_angle_gamma 34.00
_symmetry_space_group_name_H-M 'P 1'
_symmetry_Int_Tables_number 1
loop_
_symmetry_equiv_pos_as_xyz
'x,y,z'
loop_
_atom_site_label
_atom_site_fract_x
_atom_site_fract_y
_atom_site_fract_z
Cs1 0.000 0.000 0.000
V1 0.500 0.500 0.500
Ni1 0.233 0.233 0.233
Ni2 0.767 0.767 0.767
Cl1 0.146 0.765 0.451
Cl2 0.235 0.549 0.854
Cl3 0.306 0.306 0.306
Cl4 0.451 0.146 0.765
Cl5 0.549 0.854 0.235
Cl6 0.694 0.694 0.694
Cl7 0.765 0.451 0.146
Cl8 0.854 0.235 0.549
```

---

[2]
A plane-wave DFT calculation with PBE-GGA was carried out for a relaxed Cs2NiWCl6 crystal.

Uncorrected energy (eV per atom): -4.1701
ΔE_f (raw) (eV/atom): -1.018

```
data_Cs2NiWCl6
_cell_length_a 7.575
_cell_length_b 7.575
_cell_length_c 7.575
_cell_angle_alpha 125.82
_cell_angle_beta 125.82
_cell_angle_gamma 80.18
_symmetry_space_group_name_H-M 'P 1'
_symmetry_Int_Tables_number 1
loop_
_symmetry_equiv_pos_as_xyz
'x,y,z'
loop_
_atom_site_label
_atom_site_fract_x
_atom_site_fract_y
_atom_site_fract_z
Cs1 0.250 0.750 0.500
Cs2 0.750 0.250 0.500
Ni1 0.000 0.000 0.000
W1 0.500 0.500 0.000
Cl1 0.244 0.244 0.489
Cl2 0.244 0.756 0.000
Cl3 0.288 0.288 0.000
Cl4 0.712 0.712 0.000
Cl5 0.756 0.244 0.000
Cl6 0.756 0.756 0.511
```

---

[3]
A plane-wave DFT calculation with PBE-GGA was carried out for a relaxed CsNi2WCl crystal.

Uncorrected energy (eV per atom): -3.8795
ΔE_f (raw) (eV/atom): 1.564

```
data_CsNi2WCl
_cell_length_a 4.781
_cell_length_b 4.781
_cell_length_c 4.500
_cell_angle_alpha 90.00
_cell_angle_beta 90.00
_cell_angle_gamma 90.00
_symmetry_space_group_name_H-M 'P 1'
_symmetry_Int_Tables_number 1
loop_
_symmetry_equiv_pos_as_xyz
'x,y,z'
loop_
_atom_site_label
_atom_site_fract_x
_atom_site_fract_y
_atom_site_fract_z
Cs1 0.000 0.000 0.000
Ni1 0.000 0.500 0.500
Ni2 0.500 0.000 0.500
W1 0.500 0.500 0.000
Cl1 0.500 0.500 0.500
```

---

[4]
A plane-wave DFT calculation with PBE-GGA was carried out for a relaxed CsNpCl4 crystal.

Uncorrected energy (eV per atom): -5.3681
ΔE_f (raw) (eV/atom): -1.838
Energy above the lowest structure with this stoichiometry (meV/atom): 0

```
data_CsNpCl4
_cell_length_a 9.295
_cell_length_b 9.295
_cell_length_c 7.144
_cell_angle_alpha 108.32
_cell_angle_beta 108.32
_cell_angle_gamma 112.57
_symmetry_space_group_name_H-M 'P 1'
_symmetry_Int_Tables_number 1
loop_
_symmetry_equiv_pos_as_xyz
'x,y,z'
loop_
_atom_site_label
_atom_site_fract_x
_atom_site_fract_y
_atom_site_fract_z
Cs1 0.148 0.852 0.750
Cs2 0.852 0.148 0.250
Np1 0.422 0.578 0.250
Np2 0.578 0.422 0.750
Cl1 0.146 0.544 0.310
Cl2 0.266 0.345 0.791
Cl3 0.345 0.266 0.291
Cl4 0.456 0.854 0.190
Cl5 0.544 0.146 0.810
Cl6 0.655 0.734 0.709
Cl7 0.734 0.655 0.209
Cl8 0.854 0.456 0.690
```